No. 1
First-principles (PBE) data for a relaxed Sr3ZrI crystal, as listed in the Alexandria database.

E   -2.557 eV/atom
Density   2.990 Mg/m³
Formation energy from raw total energies   0.47 eV/atom
Crystal system   cubic
Space-group type   Pm-3m, No. 221
Offset from the most stable computed form   125 meV/atom

a b c (Å): 6.4405 6.4405 6.4405
angles (deg): 90.00 90.00 90.00
With the nearest neighbours (Å) after each atom.
Positions (direct):
1 Sr 0.0000 0.0000 0.5000  2 Zr 3.22
2 Sr 0.0000 0.5000 0.0000  2 Zr 3.22
3 Sr 0.5000 0.0000 0.0000  2 Zr 3.22
4 Zr 0.0000 0.0000 0.0000  6 Sr 3.22
5 I 0.5000 0.5000 0.5000  12 Sr 4.55

No. 2
First-principles (PBE) data for a relaxed TaI4 crystal, as listed in the Alexandria database.

E   -4.044 eV/atom
Density   4.973 Mg/m³
Formation energy from raw total energies   -0.43 eV/atom
Crystal system   triclinic
Space-group type   P-1, No. 2

a b c (Å): 7.6752 11.1838 11.3333
angles (deg): 81.22 86.79 73.06
With the nearest neighbours (Å) after each atom.
Positions (direct):
1 Ta 0.1112 0.4059 0.3391  6 I 2.68-2.89, 1 Ta 2.99
2 Ta 0.1856 0.1720 0.2251  6 I 2.67-2.92, 1 Ta 2.99
3 Ta 0.8144 0.8280 0.7749  6 I 2.67-2.92, 1 Ta 2.99
4 Ta 0.8888 0.5941 0.6609  6 I 2.68-2.89, 1 Ta 2.99
5 I 0.0191 0.1895 0.4624  2 Ta 2.86-2.92
6 I 0.0594 0.9468 0.8296  1 Ta 2.74
7 I 0.1102 0.6015 0.8418  2 Ta 2.76-2.90
8 I 0.2013 0.6058 0.2198  1 Ta 2.68
9 I 0.2246 0.4427 0.5667  2 Ta 2.89
10 I 0.3384 0.2089 0.0104  1 Ta 2.67
11 I 0.4069 0.9343 0.3032  1 Ta 2.75
12 I 0.4614 0.2494 0.3303  2 Ta 2.75-2.88
13 I 0.5386 0.7506 0.6697  2 Ta 2.75-2.88
14 I 0.5931 0.0657 0.6968  1 Ta 2.75
15 I 0.6616 0.7911 0.9896  1 Ta 2.67
16 I 0.7754 0.5573 0.4333  2 Ta 2.89
17 I 0.7987 0.3942 0.7802  1 Ta 2.68
18 I 0.8898 0.3985 0.1582  2 Ta 2.76-2.90
19 I 0.9406 0.0532 0.1704  1 Ta 2.74
20 I 0.9809 0.8105 0.5376  2 Ta 2.86-2.92

No. 3
First-principles (PBE) data for a relaxed Ta4I crystal, as listed in the Alexandria database.

E   -7.573 eV/atom
Density   11.931 Mg/m³
Formation energy from raw total energies   2.22 eV/atom
Crystal system   cubic
Space-group type   Pm-3m, No. 221

a b c (Å): 4.9104 4.9104 4.9104
angles (deg): 90.00 90.00 90.00
With the nearest neighbours (Å) after each atom.
Positions (direct):
1 Ta 0.0000 0.0000 0.0000  12 Ta 3.47
2 Ta 0.0000 0.5000 0.5000  2 I 2.46
3 Ta 0.5000 0.0000 0.5000  2 I 2.46
4 Ta 0.5000 0.5000 0.0000  2 I 2.46
5 I 0.5000 0.5000 0.5000  6 Ta 2.46

No. 4
First-principles (PBE) data for a relaxed TaI crystal, as listed in the Alexandria database.

E   -5.897 eV/atom
Density   8.956 Mg/m³
Formation energy from raw total energies   0.80 eV/atom
Crystal system   orthorhombic
Space-group type   Fddd, No. 70
Offset from the most stable computed form   730 meV/atom

a b c (Å): 7.4554 7.3012 6.2106
angles (deg): 66.41 63.83 49.77
With the nearest neighbours (Å) after each atom.
Positions (direct):
1 Ta 0.0164 0.0164 0.2336  1 Ta 2.58, 4 I 2.82-2.84
2 Ta 0.2336 0.2336 0.0164  1 Ta 2.58, 4 I 2.82-2.84
3 Ta 0.7664 0.7664 0.9836  1 Ta 2.58, 4 I 2.82-2.84
4 Ta 0.9836 0.9836 0.7664  1 Ta 2.58, 4 I 2.82-2.84
5 I 0.1690 0.5810 0.5810  4 Ta 2.82-2.84
6 I 0.4190 0.8310 0.8310  4 Ta 2.82-2.84
7 I 0.5810 0.1690 0.1690  4 Ta 2.82-2.84
8 I 0.8310 0.4190 0.4190  4 Ta 2.82-2.84

No. 5
First-principles (PBE) data for a relaxed TaI crystal, as listed in the Alexandria database.

E   -6.210 eV/atom
Density   8.593 Mg/m³
Formation energy from raw total energies   0.49 eV/atom
Crystal system   hexagonal
Space-group type   P6_3/m, No. 176
Offset from the most stable computed form   417 meV/atom

a b c (Å): 11.0560 11.0560 3.3720
angles (deg): 90.00 90.00 120.00
With the nearest neighbours (Å) after each atom.
Positions (direct):
1 Ta 0.1906 0.6576 0.2500  2 Ta 2.65, 3 I 2.92-2.95
2 Ta 0.3424 0.5330 0.2500  2 Ta 2.65, 3 I 2.92-2.95
3 Ta 0.4670 0.8094 0.2500  2 Ta 2.65, 3 I 2.92-2.95
4 Ta 0.5330 0.1906 0.7500  2 Ta 2.65, 3 I 2.92-2.95
5 Ta 0.6576 0.4670 0.7500  2 Ta 2.65, 3 I 2.92-2.95
6 Ta 0.8094 0.3424 0.7500  2 Ta 2.65, 3 I 2.92-2.95
7 I 0.0283 0.3499 0.2500  4 Ta 2.92-3.02
8 I 0.3216 0.9717 0.2500  4 Ta 2.92-3.02
9 I 0.3499 0.3216 0.7500  4 Ta 2.92-3.02
10 I 0.6501 0.6784 0.2500  4 Ta 2.92-3.02
11 I 0.6784 0.0283 0.7500  4 Ta 2.92-3.02
12 I 0.9717 0.6501 0.7500  4 Ta 2.92-3.02

No. 6
First-principles (PBE) data for a relaxed TaI crystal, as listed in the Alexandria database.

E   -5.009 eV/atom
Density   10.635 Mg/m³
Formation energy from raw total energies   1.69 eV/atom
Crystal system   cubic
Space-group type   Fm-3m, No. 225
Offset from the most stable computed form   1618 meV/atom

a b c (Å): 4.0812 4.0812 4.0812
angles (deg): 60.00 60.00 60.00
With the nearest neighbours (Å) after each atom.
Positions (direct):
1 Ta 0.0000 0.0000 0.0000  6 I 2.89
2 I 0.5000 0.5000 0.5000  6 Ta 2.89

no.,V (Å³/f.u.)
1,267
2,230
3,118
4,57
5,59
6,48